This record from Alexandria describes Tb4Nd2Er after structural relaxation. The functional is GGA-PBE.

abc: 3.584 3.584 20.579
angles: 85.00 85.00 60.00
Fractional positions:
Nd 0.428 0.428 0.715
Tb 0.143 0.143 0.570
Nd 0.572 0.572 0.285
Tb 0.713 0.713 0.860
Er 0.000 0.000 0.000
Tb 0.287 0.287 0.140
Tb 0.857 0.857 0.430

Output
Its space group is R-3m. Its density of states at the Fermi level is 1.28 states/eV/atom. For the total energy, the calculation gives -4.643 eV/atom. The energy of formation comes out at 0.02 eV/atom. The calculation puts the relative energy among the computed polymorphs at 0.000 eV/atom.

This record from Alexandria describes Tb7Nd3Er2 after structural relaxation. The functional is GGA-PBE.

abc: 6.517 6.517 11.945
angles: 74.17 74.17 60.00
Fractional positions:
Nd 0.000 0.000 0.000
Tb 0.416 0.918 0.251
Nd 0.845 0.845 0.466
Nd 0.155 0.155 0.534
Tb 0.584 0.584 0.749
Tb 0.082 0.584 0.749
Tb 0.500 0.500 0.500
Tb 0.416 0.416 0.251
Tb 0.584 0.082 0.749
Er 0.667 0.667 0.000
Tb 0.918 0.416 0.251
Er 0.333 0.333 0.000

Output
Its space group is R-3m. Its density of states at the Fermi level is 1.64 states/eV/atom. For the total energy, the calculation gives -4.367 eV/atom. The energy of formation comes out at 0.29 eV/atom. The calculation puts the relative energy among the computed polymorphs at 0.200 eV/atom.

This record from Alexandria describes Tb4NdEr after structural relaxation. The functional is GGA-PBE.

abc: 5.042 7.989 11.304
angles: 148.07 89.98 108.44
Fractional positions:
Tb 0.666 0.332 0.000
Er 0.000 0.000 0.000
Tb 0.833 0.665 0.501
Tb 0.334 0.668 0.000
Tb 0.167 0.335 0.499
Nd 0.500 0.000 0.500

Output
Its space group is P-1. Its density of states at the Fermi level is 1.34 states/eV/atom. For the total energy, the calculation gives -4.624 eV/atom. The energy of formation comes out at 0.02 eV/atom. The calculation puts the relative energy among the computed polymorphs at 0.000 eV/atom.

This record from Alexandria describes TbNd3Er after structural relaxation. The functional is GGA-PBE.

abc: 6.881 10.673 10.673
angles: 105.76 75.81 75.81
Fractional positions:
Nd 0.088 0.648 0.983
Nd 0.955 0.963 0.256
Nd 0.588 0.983 0.648
Nd 0.415 0.685 0.651
Tb 0.750 0.990 0.010
Nd 0.545 0.744 0.037
Nd 0.412 0.017 0.352
Nd 0.085 0.349 0.315
Tb 0.250 0.320 0.680
Er 0.122 0.810 0.453
Tb 0.250 0.010 0.990
Nd 0.455 0.256 0.963
Er 0.622 0.453 0.810
Nd 0.585 0.315 0.349
Nd 0.045 0.037 0.744
Tb 0.750 0.680 0.320
Nd 0.912 0.352 0.017
Er 0.378 0.547 0.190
Er 0.878 0.190 0.547
Nd 0.915 0.651 0.685

Output
Its space group is C2/c. Its density of states at the Fermi level is 1.46 states/eV/atom. For the total energy, the calculation gives -4.528 eV/atom. The energy of formation comes out at 0.17 eV/atom. The calculation puts the relative energy among the computed polymorphs at 0.156 eV/atom.

This record from Alexandria describes Tb2Nd3Er8 after structural relaxation. The functional is GGA-PBE.

abc: 5.032 7.952 10.650
angles: 85.73 103.67 89.98
Fractional positions:
Nd 0.539 0.694 0.078
Er 0.078 0.386 0.157
Er 0.617 0.079 0.235
Er 0.844 0.231 0.688
Er 0.922 0.614 0.843
Nd 0.000 0.000 0.000
Tb 0.231 0.154 0.463
Er 0.693 0.460 0.387
Er 0.307 0.540 0.613
Er 0.156 0.769 0.312
Tb 0.769 0.846 0.537
Nd 0.461 0.306 0.922
Er 0.383 0.921 0.765

Output
Its space group is C2/m. Its density of states at the Fermi level is 1.44 states/eV/atom. For the total energy, the calculation gives -4.597 eV/atom. The energy of formation comes out at 0.02 eV/atom. The calculation puts the relative energy among the computed polymorphs at 0.000 eV/atom.

This record from Alexandria describes TbNd10Er6 after structural relaxation. The functional is GGA-PBE.

abc: 6.903 9.827 9.827
angles: 120.00 90.00 90.00
Fractional positions:
Nd 0.500 0.667 0.333
Nd 0.182 0.724 0.000
Er 0.313 0.631 0.631
Er 0.687 0.000 0.631
Tb 0.500 0.000 0.000
Er 0.313 0.000 0.369
Nd 0.500 0.333 0.667
Nd 0.818 0.000 0.276
Er 0.687 0.369 0.369
Nd 0.818 0.276 0.000
Nd 0.182 0.000 0.724
Nd 0.818 0.724 0.724
Er 0.687 0.631 0.000
Nd 0.000 0.667 0.333
Nd 0.182 0.276 0.276
Er 0.313 0.369 0.000
Nd 0.000 0.333 0.667

Output
Its space group is P-31m. Its density of states at the Fermi level is 1.50 states/eV/atom. For the total energy, the calculation gives -4.559 eV/atom. The energy of formation comes out at 0.13 eV/atom.